No. 1
VASP calculation (PBE) on GaPd8Au2 after structural relaxation.

```
GaPd8Au2
1.0
4.792 0.592 0.492
0.864 6.583 -0.199
0.864 1.007 6.508
Au Pd Ga
2 8 1
direct
0.480 0.148 0.148 Au
0.520 0.852 0.852 Au
0.189 0.320 0.842 Pd
0.811 0.680 0.158 Pd
0.103 0.727 0.727 Pd
0.703 0.570 0.570 Pd
0.897 0.273 0.273 Pd
0.297 0.430 0.430 Pd
0.811 0.158 0.680 Pd
0.189 0.842 0.320 Pd
0.000 0.000 0.000 Ga
```

Values from the calculation:
E above lowest polymorph in eV/atom: 0.1708
Energy relative to the elements in eV per atom: 0.12
Total energy in eV/atom: -4.526
Crystal system: monoclinic
Size of the total moment in μB per atom: 0.00


No. 2
VASP calculation (PBE) on SrRuBr4 after structural relaxation.

```
SrRuBr4
1.0
0.000 4.503 4.503
4.503 0.000 4.503
4.503 4.503 0.000
Br Sr Ru
4 1 1
direct
0.376 0.376 0.873 Br
0.376 0.376 0.376 Br
0.873 0.376 0.376 Br
0.376 0.873 0.376 Br
0.000 0.000 0.000 Sr
0.750 0.750 0.750 Ru
```

Values from the calculation:
Total energy in eV/atom: -2.535
Crystal system: cubic
Size of the total moment in μB per atom: 0.66


No. 3
VASP calculation (PBE) on Cd2RePtAu after structural relaxation.

```
Cd2RePtAu
1.0
-3.087 -3.908 -0.713
2.522 -1.225 -4.207
3.079 -2.925 2.697
Au Cd Pt Re
1 2 1 1
direct
0.000 0.000 0.000 Au
0.500 0.000 0.000 Cd
0.000 0.000 0.500 Cd
0.500 0.500 0.500 Pt
0.000 0.500 0.000 Re
```

Values from the calculation:
Energy relative to the elements in eV per atom: 1.46
Total energy in eV/atom: -3.264
Crystal system: tetragonal
Size of the total moment in μB per atom: 0.56


No. 4
VASP calculation (PBE) on La6Br3N2O after structural relaxation.

```
La6Br3N2O
1.0
-6.387 -1.428 -0.716
4.096 -4.447 2.606
-0.605 4.680 6.164
La Br O N
6 3 1 2
direct
0.397 0.060 0.181 La
0.940 0.603 0.819 La
0.603 0.940 0.819 La
0.060 0.397 0.181 La
0.724 0.724 0.182 La
0.276 0.276 0.818 La
0.500 0.500 0.500 Br
0.168 0.832 0.500 Br
0.832 0.168 0.500 Br
0.000 0.000 0.000 O
0.334 0.666 0.000 N
0.666 0.334 0.000 N
```

Values from the calculation:
Total energy in eV/atom: -6.348
Crystal system: monoclinic
Size of the total moment in μB per atom: 0.00


DOS(E_F) for the records above, in order: 1.26; 2.22; 0.54; 0.45 states/eV per atom